Material: GaAg7
Method: DFT, GGA-PBE
State: optimized geometry

## Properties
- DOS(E_F) (states/eV/atom) = 0.239
- space group = Fm-3m (225)

```
8
Lattice="-5.0667 -1.5102 2.5043 -2.1349 -5.3960 -0.7405 -0.0425 -3.7684 4.4745" Properties=species:S:1:pos:R:3 pbc="T T T"
Ag -1.0887 -4.5822 1.8670
Ag -2.5546 -2.6393 3.4894
Ag -1.0675 -2.6980 -0.3703
Ag -3.6008 -3.4531 0.8819
Ag -3.6220 -5.3373 3.1191
Ga 0.0000 0.0000 0.0000
Ag -0.0212 -1.8842 2.2372
Ag -2.5333 -0.7551 1.2522
```


Material: Ir3SF
Method: DFT, GGA-PBE
State: optimized geometry

## Properties
- DOS(E_F) (states/eV/atom) = 1.423
- uncorrected formation energy (eV per atom) = 0.9661
- space group = Pm-3m (221)

```
5
Lattice="4.3810 0.0000 0.0000 0.0000 4.3810 0.0000 0.0000 0.0000 4.3810" Properties=species:S:1:pos:R:3 pbc="T T T"
Ir 2.1905 0.0000 0.0000
Ir 0.0000 2.1905 0.0000
S 0.0000 0.0000 0.0000
Ir 0.0000 0.0000 2.1905
F 2.1905 2.1905 2.1905
```


Material: Ba2AcHo
Method: DFT, GGA-PBE
State: optimized geometry

## Properties
- DOS(E_F) (states/eV/atom) = 1.703
- space group = R-3m (166)

```
4
Lattice="4.0081 0.0000 0.0000 2.0041 3.4711 0.0000 2.0041 1.1570 13.2533" Properties=species:S:1:pos:R:3 pbc="T T T"
Ba 6.0122 3.4711 10.1070
Ba 2.0041 1.1571 3.1463
Ho 0.0000 0.0000 0.0000
Ac 4.0081 2.3141 6.6266
```


Material: Pr2Ho2Tm5
Method: DFT, GGA-PBE
State: optimized geometry

## Properties
- DOS(E_F) (states/eV/atom) = 1.679
- space group = Ima2 (46)

```
18
Lattice="11.7067 0.0000 0.0000 0.0000 6.7125 0.0000 -5.8534 -3.3563 7.4479" Properties=species:S:1:pos:R:3 pbc="T T T"
Ho 5.8534 3.3890 0.0000
Ho 0.1607 0.7419 3.7239
Pr -0.0727 3.7486 1.8953
Tm 8.8966 1.4006 0.7989
Ho 5.6926 4.0982 3.7239
Tm 2.7618 -0.7548 5.3236
Tm 2.7618 -0.7548 2.1243
Ho 0.0000 0.0328 0.0000
Pr 5.9260 0.3924 5.5525
Tm 8.7690 2.7606 3.7239
Tm 3.0915 2.6014 2.1243
Tm 3.0915 2.6014 5.3236
Pr 5.9260 0.3924 1.8953
Tm -2.9156 -0.5956 3.7239
Tm 8.6635 4.7569 0.7989
Tm -3.0432 -1.9556 6.6490
Tm -2.8101 1.4006 6.6490
Pr -0.0727 3.7486 5.5525
```


The electronic total energy results, record by record, are as follows: -2.88, -5.55, -2.90, -4.35 eV/atom.